Entry 1:
Computed, not measured: an optimized crystal structure of LaAlTe4 at the GGA-PBE level of DFT.

Its formation energy without anion corrections is 0.0029 eV/atom. As for the total energy: -3.537 eV per atom.

The structure belongs to space group F-43m (No. 216); the cell edges are 9.027, 9.027 and 9.027 Å and the angles 90.00°, 90.00° and 90.00°. The distinct sites, in fractional coordinates, are La at (0.000, 0.000, 0.000), Al at (0.250, 0.250, 0.250) and Te at (0.125, 0.125, 0.625).

---

Entry 2:
Computed, not measured: an optimized crystal structure of Na2In2Au at the GGA-PBE level of DFT.

As for the offset from the most stable computed form: 35 meV per atom. The calculation puts the calculated formation energy at -0.15 eV/atom. As for the total energy: -2.427 eV per atom.

The structure belongs to space group I4_1/amd (No. 141, origin choice 2); the cell edges are 4.770, 4.770 and 23.526 Å and the angles 90.00°, 90.00° and 90.00°. The distinct sites, in fractional coordinates, are Na at (0.000, 0.250, 0.052), In at (0.000, 0.250, 0.197) and Au at (0.000, 0.250, 0.375).

---

Entry 3:
Computed, not measured: an optimized crystal structure of NdTm5Au4 at the GGA-PBE level of DFT.

The calculation puts the calculated formation energy at -0.71 eV/atom. As for the total energy: -4.731 eV per atom.

The structure belongs to space group P4/mmm (No. 123); the cell edges are 3.530, 3.530 and 19.628 Å and the angles 90.00°, 90.00° and 90.00°. The distinct sites, in fractional coordinates, are Nd at (0.000, 0.000, 0.000), Tm at (0.500, 0.500, 0.135), Tm at (0.500, 0.500, 0.316), Tm at (0.500, 0.500, 0.500), Au at (0.000, 0.000, 0.222) and Au at (0.000, 0.000, 0.408).

---

Entry 4:
Computed, not measured: an optimized crystal structure of LaSi2Br at the GGA-PBE level of DFT.

Its formation energy without anion corrections is 0.3938 eV/atom. As for the offset from the most stable computed form: 1145 meV per atom. As for the total energy: -3.968 eV per atom.

The structure belongs to space group R-3m (No. 166, hexagonal axes); the cell edges are 3.4394, 3.4394 and 27.1903 Å and the angles 90.00°, 90.00° and 120.00°. The distinct sites, in fractional coordinates, are La at (0.0000, 0.0000, 0.0000), Si at (0.0000, 0.0000, 0.2438) and Br at (0.0000, 0.0000, 0.5000).

---

Entry 5:
Computed, not measured: an optimized crystal structure of Pr3Te2Pd at the GGA-PBE level of DFT.

Its formation energy without anion corrections is -1.1659 eV/atom. As for the total energy: -5.468 eV per atom.

The structure belongs to space group I4/mmm (No. 139); the cell edges are 4.497, 4.497 and 18.621 Å and the angles 90.00°, 90.00° and 90.00°. The distinct sites, in fractional coordinates, are Pr at (0.000, 0.000, 0.000), Pr at (0.000, 0.000, 0.344), Te at (0.000, 0.000, 0.172) and Pd at (0.000, 0.000, 0.500).

---

Entry 6:
Computed, not measured: an optimized crystal structure of BeTlCr2 at the GGA-PBE level of DFT.

As for the offset from the most stable computed form: 498 meV per atom. The calculation puts the calculated formation energy at 0.92 eV/atom. As for the total energy: -5.414 eV per atom.

The structure belongs to space group Fm-3m (No. 225); the cell edges are 6.048, 6.048 and 6.048 Å and the angles 90.00°, 90.00° and 90.00°. The distinct sites, in fractional coordinates, are Be at (0.000, 0.000, 0.000), Tl at (0.000, 0.000, 0.500) and Cr at (0.250, 0.250, 0.250).

---

Entry 7:
Computed, not measured: an optimized crystal structure of PaCd3O6 at the GGA-PBE level of DFT.

Its formation energy without anion corrections is -1.7580 eV/atom. As for the total energy: -5.957 eV per atom.

The structure belongs to space group Pnnm (No. 58); the cell edges are 6.883, 12.346 and 3.599 Å and the angles 90.00°, 90.00° and 90.00°. The distinct sites, in fractional coordinates, are Pa at (0.000, 0.000, 0.000), Cd at (0.000, 0.500, 0.000), Cd at (0.168, 0.269, 0.500), O at (0.030, 0.693, 0.000), O at (0.045, 0.101, 0.500) and O at (0.202, 0.456, 0.500).

---

Entry 8:
Computed, not measured: an optimized crystal structure of LiCrPt2 at the GGA-PBE level of DFT.

The calculation puts the calculated formation energy at 0.01 eV/atom. As for the total energy: -5.899 eV per atom.

The structure belongs to space group I-42d (No. 122); the cell edges are 6.820, 6.820 and 5.390 Å and the angles 90.00°, 90.00° and 90.00°. The distinct sites, in fractional coordinates, are Li at (0.000, 0.000, 0.000), Cr at (0.000, 0.000, 0.500) and Pt at (0.247, 0.250, 0.625).

---

Entry 9:
Computed, not measured: an optimized crystal structure of PmLuSi4 at the GGA-PBE level of DFT.

Its formation energy without anion corrections is -0.2726 eV/atom. As for the total energy: -5.433 eV per atom.

The structure belongs to space group F-43m (No. 216); the cell edges are 7.551, 7.551 and 7.551 Å and the angles 90.00°, 90.00° and 90.00°. The distinct sites, in fractional coordinates, are Pm at (0.000, 0.000, 0.000), Lu at (0.250, 0.250, 0.750) and Si at (0.123, 0.123, 0.377).

---

Entry 10:
Computed, not measured: an optimized crystal structure of VGaSe2N at the GGA-PBE level of DFT.

Its formation energy without anion corrections is -0.0596 eV/atom. As for the offset from the most stable computed form: 0 meV per atom. As for the total energy: -5.548 eV per atom.

The structure belongs to space group P4/mmm (No. 123); the cell edges are 5.032, 5.032 and 3.641 Å and the angles 90.00°, 90.00° and 90.00°. The distinct sites, in fractional coordinates, are V at (0.000, 0.000, 0.000), Ga at (0.500, 0.500, 0.500), Se at (0.000, 0.500, 0.000) and N at (0.000, 0.000, 0.500).